No. 1
DFT (PBE) results for CaTaTeN2 after structural relaxation.

## Properties
volume: 19.739 Å³ per atom
polymorph energy (0 for the lowest one): 0.0000 eV per atom
magnetization: 0.8 μB/cell

abc: 4.1478 4.1478 5.7364
angles: 90.00 90.00 90.00
Space group P4/mmm (No. 123)
Inequivalent atoms, fractional coordinates:
Ca 0.0000 0.0000 0.0000 [1 per cell]
Ta 0.5000 0.5000 0.5000 [1 per cell]
Te 0.5000 0.5000 0.0000 [1 per cell]
N 0.0000 0.5000 0.5000 [2 per cell]



No. 2
DFT (PBE) results for TlFeAsSe2 after structural relaxation.

## Properties
volume: 30.525 Å³ per atom
polymorph energy (0 for the lowest one): 1.0844 eV per atom
magnetization: 2.6 μB/cell

abc: 5.3859 5.3859 5.2614
angles: 90.00 90.00 90.00
Space group P4/mmm (No. 123)
Inequivalent atoms, fractional coordinates:
Tl 0.0000 0.0000 0.0000 [1 per cell]
Fe 0.5000 0.5000 0.5000 [1 per cell]
As 0.0000 0.0000 0.5000 [1 per cell]
Se 0.0000 0.5000 0.0000 [2 per cell]